{"formula": "MgAl2Ag4", "functional": "PBE-GGA", "state": "relaxed", "lattice": [[2.2615, 1.3057, 7.2326], [-2.2615, 1.3057, 7.2326], [0.0000, -2.6114, 7.2326]], "species": ["Mg", "Al", "Al", "Ag", "Ag", "Ag", "Ag"], "fractional_positions": [[0.0000, 0.0000, 0.0000], [0.2520, 0.2520, 0.2520], [0.7480, 0.7480, 0.7480], [0.1298, 0.1298, 0.1298], [0.3860, 0.3860, 0.3860], [0.6140, 0.6140, 0.6140], [0.8702, 0.8702, 0.8702]], "de_polymorph_mev_per_atom": 0, "formation_enthalpy_0k_kj_per_mol_atoms": -6, "e_tot_ev_per_atom": -2.990}

---

{"formula": "Na2LiCdH5", "functional": "PBE-GGA", "state": "relaxed", "lattice": [[1.6085, -6.4332, 0.0000], [1.6085, 6.4332, 0.0000], [0.0000, 0.0000, 10.5164]], "species": ["Na", "Na", "Na", "Na", "Li", "Li", "Cd", "Cd", "H", "H", "H", "H", "H", "H", "H", "H", "H", "H"], "fractional_positions": [[0.1024, 0.8976, 0.5000], [0.1597, 0.8403, 0.1423], [0.8403, 0.1597, 0.6423], [0.8976, 0.1024, 0.0000], [0.2208, 0.7792, 0.8712], [0.7792, 0.2208, 0.3712], [0.4606, 0.5394, 0.2774], [0.5394, 0.4606, 0.7774], [0.0545, 0.9455, 0.8801], [0.2732, 0.7268, 0.5047], [0.3087, 0.6913, 0.2564], [0.3783, 0.6217, 0.8341], [0.4989, 0.5011, 0.6090], [0.5011, 0.4989, 0.1090], [0.6217, 0.3783, 0.3341], [0.6913, 0.3087, 0.7564], [0.7268, 0.2732, 0.0047], [0.9455, 0.0545, 0.3801]], "e_tot_ev_per_atom": -2.563}

---

{"formula": "Er2Al2Ge2C", "functional": "PBE-GGA", "state": "relaxed", "lattice": [[-2.0625, 2.0625, 7.3751], [2.0625, -2.0625, 7.3751], [2.0625, 2.0625, -7.3751]], "species": ["Er", "Er", "Al", "Al", "Ge", "Ge", "C"], "fractional_positions": [[0.1609, 0.1609, 0.0000], [0.8391, 0.8391, 0.0000], [0.0000, 0.5000, 0.5000], [0.5000, 0.0000, 0.5000], [0.3667, 0.3667, 0.0000], [0.6333, 0.6333, 0.0000], [0.0000, 0.0000, 0.0000]], "formation_enthalpy_0k_kj_per_mol_atoms": -49, "e_tot_ev_per_atom": -5.516}

---

{"formula": "DyYTc", "functional": "PBE-GGA", "state": "relaxed", "lattice": [[-1.7384, 1.7384, 6.2238], [1.7384, -1.7384, 6.2238], [1.7384, 1.7384, -6.2238]], "species": ["Dy", "Y", "Tc"], "fractional_positions": [[0.0000, 0.0000, 0.0000], [0.2609, 0.2609, 0.0000], [0.6288, 0.6288, 0.0000]], "de_polymorph_mev_per_atom": 0, "formation_enthalpy_0k_kj_per_mol_atoms": -3, "e_tot_ev_per_atom": -7.173}

---

{"formula": "NdY2Ru9", "functional": "PBE-GGA", "state": "relaxed", "lattice": [[2.6556, 1.5332, 8.6868], [-2.6556, 1.5332, 8.6868], [0.0000, -3.0665, 8.6868]], "species": ["Nd", "Y", "Y", "Ru", "Ru", "Ru", "Ru", "Ru", "Ru", "Ru", "Ru", "Ru"], "fractional_positions": [[0.0000, 0.0000, 0.0000], [0.1398, 0.1398, 0.1398], [0.8602, 0.8602, 0.8602], [0.0718, 0.5889, 0.5889], [0.3385, 0.3385, 0.3385], [0.4111, 0.4111, 0.9282], [0.4111, 0.9282, 0.4111], [0.5000, 0.5000, 0.5000], [0.5889, 0.0718, 0.5889], [0.5889, 0.5889, 0.0718], [0.6615, 0.6615, 0.6615], [0.9282, 0.4111, 0.4111]], "formation_enthalpy_0k_kj_per_mol_atoms": -10, "e_tot_ev_per_atom": -8.536}

---

{"formula": "Fe6CuPd12", "functional": "PBE-GGA", "state": "relaxed", "lattice": [[5.9560, 3.4387, 2.2324], [-5.9560, 3.4387, 2.2324], [0.0000, -6.8774, 2.2324]], "species": ["Fe", "Fe", "Fe", "Fe", "Fe", "Fe", "Cu", "Pd", "Pd", "Pd", "Pd", "Pd", "Pd", "Pd", "Pd", "Pd", "Pd", "Pd", "Pd"], "fractional_positions": [[0.0590, 0.5832, 0.3664], [0.3664, 0.0590, 0.5832], [0.4168, 0.6336, 0.9410], [0.5832, 0.3664, 0.0590], [0.6336, 0.9410, 0.4168], [0.9410, 0.4168, 0.6336], [0.0000, 0.0000, 0.0000], [0.1124, 0.1648, 0.7380], [0.1648, 0.7380, 0.1124], [0.2052, 0.3258, 0.4760], [0.2620, 0.8876, 0.8352], [0.3258, 0.4760, 0.2052], [0.4759, 0.2052, 0.3258], [0.5240, 0.7948, 0.6742], [0.6742, 0.5241, 0.7948], [0.7380, 0.1124, 0.1648], [0.7948, 0.6742, 0.5241], [0.8352, 0.2620, 0.8876], [0.8876, 0.8352, 0.2620]], "de_polymorph_mev_per_atom": 0, "formation_enthalpy_0k_kj_per_mol_atoms": -6, "e_tot_ev_per_atom": -6.232}